TcMoW2: optimized geometry, PBEsol.

ΔE_f = 54 meV/atom
raw total energy = -50.432 eV for the cell shown
DOS at the Fermi energy = 0.77 states/eV/atom
ΔE to the lowest computed polymorph = 27 meV/atom

Cell: 3.1149 4.3994 4.4367 Å, 90.00 90.00 90.00°
Closest atoms and distances in Å follow each position.
Fractional coordinates of all 4 atoms:
Mo (0.5000, 0.5000, 0.0000)  4 W 2.70, 4 Tc 2.71
Tc (0.0000, 0.5000, 0.5000)  4 W 2.70, 4 Mo 2.71
W (0.0000, 0.0000, 0.0000)  4 Mo 2.70, 4 W 2.71
W (0.5000, 0.0000, 0.5000)  4 Tc 2.70, 4 W 2.71



TcMoW2: optimized geometry, PBEsol.

ΔE_f = 39 meV/atom
raw total energy = -50.492 eV for the cell shown
DOS at the Fermi energy = 0.71 states/eV/atom
ΔE to the lowest computed polymorph = 12 meV/atom

Cell: 3.1184 4.4123 5.1794 Å, 115.21 107.52 90.00°
Closest atoms and distances in Å follow each position.
Fractional coordinates of all 4 atoms:
Mo (0.5041, 0.5041, 0.0082)  6 W 2.68-2.70, 2 Tc 2.74
Tc (0.7486, 0.2486, 0.4973)  6 W 2.70-2.72, 2 Mo 2.74
W (0.9967, 0.9967, 0.9934)  2 W 2.68, 4 Mo 2.70, 2 Tc 2.72
W (0.2505, 0.7505, 0.5011)  2 W 2.68, 2 Mo 2.68, 4 Tc 2.70